A) Density functional theory data (PBE) for an optimized crystal structure of Li4Cd2Rh.

Calculated values
density of states at the Fermi level	0.52	states/eV/atom

Geometry as POSCAR:
```
Li4Cd2Rh
1.0
5.6141 -0.0665 0.0000
-0.1539 5.6124 0.0000
-2.7301 -2.7729 3.9714
Rh Cd Li
1 2 4
direct
0.2151 0.7849 0.0000 Rh
0.2146 0.7854 0.5000 Cd
0.7146 0.2854 0.5000 Cd
0.6771 0.7285 0.4056 Li
0.2715 0.3229 0.5944 Li
0.7505 0.8435 0.0000 Li
0.1565 0.2495 0.0000 Li
```

B) Density functional theory data (PBE) for an optimized crystal structure of Li4Cd2Rh.

Calculated values
density of states at the Fermi level	0.37	states/eV/atom

Geometry as POSCAR:
```
Li4Cd2Rh
1.0
9.0334 0.0000 0.0000
0.0000 4.7002 -2.1749
0.0000 -0.3771 5.3514
Rh Li Cd
2 8 4
direct
0.0000 0.0000 0.0000 Rh
0.5000 0.5000 0.0000 Rh
0.7500 0.5000 0.5000 Li
0.7501 0.2492 0.0000 Li
0.2500 0.0000 0.5000 Li
0.2499 0.7508 0.0000 Li
0.7500 0.0000 0.5000 Li
0.2500 0.5000 0.5000 Li
0.7499 0.7492 0.0000 Li
0.2501 0.2508 0.0000 Li
0.5000 0.1599 0.3197 Cd
0.0000 0.6599 0.3197 Cd
0.5000 0.8401 0.6803 Cd
0.0000 0.3401 0.6803 Cd
```

Which is most stable, and by how much? A), by 134 meV per atom.

A) Density functional theory data (PBE) for an optimized crystal structure of Li6Cd2Rh.

Calculated values
density of states at the Fermi level	0.32	states/eV/atom

Geometry as POSCAR:
```
Li6Cd2Rh
1.0
4.1176 0.0000 0.5335
-0.0001 6.6215 0.0004
-0.6884 -3.3104 5.3144
Li Cd Rh
6 2 1
direct
0.5000 0.7274 0.0000 Li
0.0000 0.5498 0.7149 Li
0.0000 0.1653 0.7148 Li
0.0000 0.4502 0.2851 Li
0.0000 0.8347 0.2852 Li
0.5000 0.2726 0.0000 Li
0.5000 0.1977 0.3955 Cd
0.5000 0.8023 0.6045 Cd
0.0000 0.0000 0.0000 Rh
```

B) Density functional theory data (PBE) for an optimized crystal structure of Li6Cd2Rh.

Calculated values
density of states at the Fermi level	0.29	states/eV/atom

Geometry as POSCAR:
```
Li6Cd2Rh
1.0
2.6756 0.3927 0.2245
-0.7280 7.0317 -3.6237
2.1451 -0.0843 8.1129
Li Cd Rh
6 2 1
direct
0.5000 0.3142 0.0000 Li
0.8144 0.9998 0.6849 Li
0.1856 0.0002 0.3151 Li
0.1856 0.3149 0.3151 Li
0.8144 0.6851 0.6849 Li
0.5000 0.6858 0.0000 Li
0.6665 0.6665 0.3330 Cd
0.3335 0.3335 0.6670 Cd
0.0000 0.0000 0.0000 Rh
```

Which is most stable, and by how much? B), by 42 meV per atom.

A) Density functional theory data (PBE) for an optimized crystal structure of Li8Cd6Rh.

Calculated values
density of states at the Fermi level	0.39	states/eV/atom

Geometry as POSCAR:
```
Li8Cd6Rh
1.0
-5.1448 -3.1072 -5.1139
0.6089 -7.5844 -2.0933
-4.5009 -4.8493 1.3857
Cd Li Rh
6 8 1
direct
0.4246 0.1694 0.7738 Cd
0.1694 0.6321 0.7738 Cd
0.8306 0.3679 0.2262 Cd
0.6321 0.4246 0.7738 Cd
0.3679 0.5754 0.2262 Cd
0.5754 0.8306 0.2262 Cd
0.8696 0.0510 0.7158 Li
0.2424 0.2424 0.2728 Li
0.6364 0.1304 0.2842 Li
0.3636 0.8696 0.7158 Li
0.7576 0.7576 0.7272 Li
0.9490 0.6364 0.2842 Li
0.0510 0.3636 0.7158 Li
0.1304 0.9490 0.2842 Li
0.0000 0.0000 0.0000 Rh
```

B) Density functional theory data (PBE) for an optimized crystal structure of Li8Cd6Rh.

Calculated values
density of states at the Fermi level	0.31	states/eV/atom

Geometry as POSCAR:
```
Li8Cd6Rh
1.0
6.4987 0.2388 3.3475
2.1443 6.1394 3.3475
0.3236 0.2388 7.3030
Li Cd Rh
8 6 1
direct
0.4186 0.4186 0.4186 Li
0.8157 0.1262 0.6772 Li
0.5814 0.5814 0.5814 Li
0.8738 0.3228 0.1843 Li
0.3228 0.1843 0.8738 Li
0.6772 0.8157 0.1262 Li
0.1843 0.8738 0.3228 Li
0.1262 0.6772 0.8157 Li
0.9448 0.4570 0.7377 Cd
0.4570 0.7377 0.9448 Cd
0.2623 0.0552 0.5430 Cd
0.5430 0.2623 0.0552 Cd
0.0552 0.5430 0.2623 Cd
0.7377 0.9448 0.4570 Cd
0.0000 0.0000 0.0000 Rh
```

Which is most stable, and by how much? B), by 65 meV per atom.

A) Density functional theory data (PBE) for an optimized crystal structure of LiCdRu.

Calculated values
density of states at the Fermi level	0.51	states/eV/atom

Geometry as POSCAR:
```
LiCdRu
1.0
4.9053 -0.0157 0.0054
2.2838 4.3413 -0.0054
-2.9885 -3.1700 2.2544
Ru Li Cd
1 1 1
direct
0.3336 0.3336 0.0000 Ru
0.6686 0.6686 0.0000 Li
0.9979 0.9979 0.0000 Cd
```

B) Density functional theory data (PBE) for an optimized crystal structure of LiCdRu.

Calculated values
density of states at the Fermi level	0.34	states/eV/atom

Geometry as POSCAR:
```
LiCdRu
1.0
-4.3938 0.5548 1.0545
-0.4419 -3.3627 3.7056
-0.8993 2.4623 4.3357
Cd Ru Li
2 2 2
direct
0.0000 0.0000 0.0000 Cd
0.0000 0.5000 0.5000 Cd
0.6904 0.0049 0.6088 Ru
0.3096 0.9951 0.3912 Ru
0.3595 0.4745 0.8368 Li
0.6405 0.5255 0.1632 Li
```

Which is most stable, and by how much? B), by 129 meV per atom.

A) Density functional theory data (PBE) for an optimized crystal structure of Li2Cd2Ru.

Calculated values
density of states at the Fermi level	0.80	states/eV/atom

Geometry as POSCAR:
```
Li2Cd2Ru
1.0
-0.6579 -2.6925 -6.7681
0.5157 -6.7958 2.6534
-2.9060 -0.0954 0.3204
Cd Li Ru
4 4 2
direct
0.1716 0.6716 0.5000 Cd
0.6716 0.8284 0.5000 Cd
0.3284 0.1716 0.5000 Cd
0.8284 0.3284 0.5000 Cd
0.3706 0.8706 0.0000 Li
0.1294 0.3706 0.0000 Li
0.6294 0.1294 0.0000 Li
0.8706 0.6294 0.0000 Li
0.0000 0.0000 0.0000 Ru
0.5000 0.5000 0.0000 Ru
```

B) Density functional theory data (PBE) for an optimized crystal structure of Li2Cd2Ru.

Calculated values
density of states at the Fermi level	0.46	states/eV/atom

Geometry as POSCAR:
```
Li2Cd2Ru
1.0
-3.1453 -6.7839 -1.5208
4.0649 -3.1486 5.6381
-2.0732 0.5564 1.8054
Li Cd Ru
4 4 2
direct
0.8385 0.3385 0.5000 Li
0.3385 0.1615 0.5000 Li
0.1615 0.6615 0.5000 Li
0.6615 0.8385 0.5000 Li
0.6404 0.1404 0.0000 Cd
0.1404 0.3596 0.0000 Cd
0.3596 0.8596 0.0000 Cd
0.8596 0.6404 0.0000 Cd
0.5000 0.5000 0.0000 Ru
0.0000 0.0000 0.0000 Ru
```

Which is most stable, and by how much? A), by 46 meV per atom.

A) Density functional theory data (PBE) for an optimized crystal structure of Li2CdRu2.

Calculated values
density of states at the Fermi level	0.78	states/eV/atom

Geometry as POSCAR:
```
Li2CdRu2
1.0
-1.1717 -0.7982 3.1750
-1.0547 -3.1003 -1.1687
5.1836 -4.7062 2.6339
Cd Ru Li
1 2 2
direct
0.0000 0.0000 0.0000 Cd
0.2500 0.7500 0.5000 Ru
0.7500 0.2500 0.5000 Ru
0.3970 0.3970 0.2060 Li
0.6030 0.6030 0.7940 Li
```

B) Density functional theory data (PBE) for an optimized crystal structure of Li2CdRu2.

Calculated values
density of states at the Fermi level	0.89	states/eV/atom

Geometry as POSCAR:
```
Li2CdRu2
1.0
-0.7614 -6.7545 -3.1428
5.7572 -2.5384 4.0609
-1.7067 -0.7231 1.9676
Li Ru Cd
4 4 2
direct
0.3219 0.8219 0.0000 Li
0.6781 0.1781 0.0000 Li
0.8219 0.6781 0.0000 Li
0.1781 0.3219 0.0000 Li
0.3879 0.1121 0.5000 Ru
0.8879 0.3879 0.5000 Ru
0.1121 0.6121 0.5000 Ru
0.6121 0.8879 0.5000 Ru
0.0000 0.0000 0.0000 Cd
0.5000 0.5000 0.0000 Cd
```

Which is most stable, and by how much? A), by 38 meV per atom.